(1)
Density functional theory data (PBE) for an optimized crystal structure of YMn2Cd.

Output
- Size of the total moment: 1.6972 μB per atom
- Space group: No. 139
- Raw total energy: -24.63 eV for the cell shown
- E above lowest polymorph: 0.73 eV per formula unit
- ΔH_f (0 K): 271.3 meV/atom
- N(E_F): 5.338 states/eV/cell

a b c (Å): 5.094 5.094 5.094
angles (deg): 128.37 128.34 76.05
Fractional positions:
Cd  0.250  0.750  0.500
Mn  0.000  0.000  0.000
Mn  0.500  0.500  0.000
Y  0.750  0.250  0.500



(2)
Density functional theory data (PBE) for an optimized crystal structure of AlInSi2Mo.

Output
- Size of the total moment: 0.0000 μB per atom
- Space group: No. 123
- Raw total energy: -26.40 eV for the cell shown
- N(E_F): 1.047 states/eV/cell

a b c (Å): 4.780 4.964 4.780
angles (deg): 90.00 90.00 90.00
Fractional positions:
Mo  0.000  0.000  0.000
Al  0.000  0.500  0.000
Si  0.000  0.000  0.500
Si  0.500  0.000  0.000
In  0.500  0.500  0.500



Repeat the first record exactly.
Density functional theory data (PBE) for an optimized crystal structure of YMn2Cd.

Output
- Size of the total moment: 1.6972 μB per atom
- Space group: No. 139
- Raw total energy: -24.63 eV for the cell shown
- E above lowest polymorph: 0.73 eV per formula unit
- ΔH_f (0 K): 271.3 meV/atom
- N(E_F): 5.338 states/eV/cell

a b c (Å): 5.094 5.094 5.094
angles (deg): 128.37 128.34 76.05
Fractional positions:
Cd  0.250  0.750  0.500
Mn  0.000  0.000  0.000
Mn  0.500  0.500  0.000
Y  0.750  0.250  0.500